MoOsCl2, relaxed, DFT PBE; raw formation energy = 1.13 eV/atom; total DFT energy (no corrections) = -5.31 eV/atom; DOS at the Fermi energy = 0.99 states/eV/atom; V = 18.58 Å³/atom; spin magnetization = 0.0 Bohr magnetons per cell; offset from the most stable computed form = 1235 meV/atom
1.0
2.8265 0.0000 0.0000
0.0000 2.8265 0.0000
0.0000 0.0000 9.3022
Mo Os Cl
1 1 2
direct
0.5000 0.5000 0.2500
0.5000 0.5000 0.7500
0.0000 0.0000 0.0829
0.0000 0.0000 0.4171